1.
# GGA-PBE Ho2TmAu, relaxed
# - excess energy over the best structure of this formula in the dataset (meV per atom) = 185
data_Ho2TmAu
_space_group_name_H-M_alt 'R -3 m'
_space_group_IT_number 166
_space_group_name_Hall '-R 3 2"'
_cell_length_a 3.6252
_cell_length_b 3.6252
_cell_length_c 29.8668
_cell_angle_alpha 90.00
_cell_angle_beta 90.00
_cell_angle_gamma 120.00
loop_
_atom_site_label
_atom_site_type_symbol
_atom_site_fract_x
_atom_site_fract_y
_atom_site_fract_z
Ho1 Ho 0.0000 0.0000 0.2380
Tm1 Tm 0.0000 0.0000 0.0000
Au1 Au 0.0000 0.0000 0.5000

2.
# GGA-PBE HoTm3Au2, relaxed
# - excess energy over the best structure of this formula in the dataset (meV per atom) = 0
data_HoTm3Au2
_space_group_name_H-M_alt 'P m c 21'
_space_group_IT_number 26
_space_group_name_Hall 'P 2c -2'
_cell_length_a 4.899
_cell_length_b 8.836
_cell_length_c 7.050
_cell_angle_alpha 90.00
_cell_angle_beta 90.00
_cell_angle_gamma 90.00
loop_
_atom_site_label
_atom_site_type_symbol
_atom_site_fract_x
_atom_site_fract_y
_atom_site_fract_z
Ho1 Ho 0.000 0.073 0.000
Tm1 Tm 0.000 0.330 0.635
Tm2 Tm 0.500 0.171 0.337
Tm3 Tm 0.500 0.427 0.972
Au1 Au 0.000 0.350 0.229
Au2 Au 0.500 0.152 0.743

3.
Compound: HoTm3Au
Source: the Alexandria database
Functional: GGA-PBE
Structure: relaxed

```
data_HoTm3Au
_space_group_name_H-M_alt 'C 1 2/m 1'
_space_group_IT_number 12
_space_group_name_Hall '-C 2y'
_cell_length_a 11.299
_cell_length_b 8.362
_cell_length_c 7.728
_cell_angle_alpha 90.00
_cell_angle_beta 124.64
_cell_angle_gamma 90.00
loop_
_atom_site_label
_atom_site_type_symbol
_atom_site_fract_x
_atom_site_fract_y
_atom_site_fract_z
Ho1 Ho 0.081 0.000 0.278
Tm1 Tm 0.047 0.500 0.314
Tm2 Tm 0.190 0.201 0.716
Au1 Au 0.231 0.000 0.066
```

4.
# GGA-PBE Ho2TmAu, relaxed
# - excess energy over the best structure of this formula in the dataset (meV per atom) = 0
data_Ho2TmAu
_space_group_name_H-M_alt 'P n m a'
_space_group_IT_number 62
_space_group_name_Hall '-P 2ac 2n'
_cell_length_a 6.886
_cell_length_b 9.633
_cell_length_c 6.641
_cell_angle_alpha 90.00
_cell_angle_beta 90.00
_cell_angle_gamma 90.00
loop_
_atom_site_label
_atom_site_type_symbol
_atom_site_fract_x
_atom_site_fract_y
_atom_site_fract_z
Ho1 Ho 0.200 0.054 0.198
Tm1 Tm 0.015 0.250 0.614
Au1 Au 0.082 0.750 0.967

5.
Compound: HoTm4Au2
Source: the Alexandria database
Functional: GGA-PBE
Structure: relaxed

```
data_HoTm4Au2
_space_group_name_H-M_alt 'R -3 m'
_space_group_IT_number 166
_space_group_name_Hall '-R 3 2"'
_cell_length_a 4.8752
_cell_length_b 4.8752
_cell_length_c 29.8755
_cell_angle_alpha 90.00
_cell_angle_beta 90.00
_cell_angle_gamma 120.00
loop_
_atom_site_label
_atom_site_type_symbol
_atom_site_fract_x
_atom_site_fract_y
_atom_site_fract_z
Ho1 Ho 0.0000 0.0000 0.0000
Tm1 Tm 0.0000 0.0000 0.2011
Tm2 Tm 0.0000 0.0000 0.3993
Au1 Au 0.0000 0.0000 0.1013
```

6.
# GGA-PBE Ho2TmAu, relaxed
# - excess energy over the best structure of this formula in the dataset (meV per atom) = 63
data_Ho2TmAu
_space_group_name_H-M_alt 'P 4/m m m'
_space_group_IT_number 123
_space_group_name_Hall '-P 4 2'
_cell_length_a 3.555
_cell_length_b 3.555
_cell_length_c 8.605
_cell_angle_alpha 90.00
_cell_angle_beta 90.00
_cell_angle_gamma 90.00
loop_
_atom_site_label
_atom_site_type_symbol
_atom_site_fract_x
_atom_site_fract_y
_atom_site_fract_z
Ho1 Ho 0.000 0.000 0.209
Tm1 Tm 0.500 0.500 0.500
Au1 Au 0.500 0.500 0.000

The records above give, respectively, energy of formation from the pure elements values of -1.093 -3.973 -1.156 -1.832 -1.993 -1.578 eV/f.u..
The records above give, respectively, magnetization values of 0.000 0.000 0.002 0.000 0.000 0.000 μB/f.u..